1.
The following is a DFT calculation (PBE) of a relaxed structure of Tb3Pm5Ho2.

Values from the calculation:
E_form: 179 kJ/mol of formula units
space-group type: C2/c
crystal system: monoclinic
E_tot: -4.4942 eV/atom

Cell lengths 9.1917, 9.1917, 9.9730 Å; angles 108.24, 108.24, 108.69 degrees
Last column: nearest neighbours and their distance in Å.
Element x y z (fractional)
Tb1 0.0301 0.2797 0.0554  1 Ho 3.27, 5 Pm 3.38-3.51, 1 Tb 3.51
Tb2 0.2271 0.7729 0.7500  1 Pm 3.06, 2 Ho 3.37
Tb3 0.2797 0.0301 0.5554  1 Ho 3.27, 5 Pm 3.38-3.51, 1 Tb 3.51
Tb4 0.7203 0.9699 0.4446  1 Ho 3.27, 5 Pm 3.38-3.51, 1 Tb 3.51
Tb5 0.7729 0.2271 0.2500  1 Pm 3.06, 2 Ho 3.37
Tb6 0.9699 0.7203 0.9446  1 Ho 3.27, 5 Pm 3.38-3.51, 1 Tb 3.51
Pm1 0.0221 0.9779 0.7500  3 Tb 3.06-3.38
Pm2 0.1166 0.3741 0.7387  3 Tb 3.43-3.77, 3 Pm 3.44-3.51, 2 Ho 3.66-3.76
Pm3 0.2718 0.7282 0.2500  3 Pm 3.12-3.44, 4 Tb 3.38-3.48, 2 Ho 3.46
Pm4 0.3741 0.1166 0.2387  3 Tb 3.43-3.77, 3 Pm 3.44-3.51, 2 Ho 3.66-3.76
Pm5 0.4807 0.5193 0.2500  3 Pm 3.12-3.47, 2 Ho 3.38
Pm6 0.5193 0.4807 0.7500  3 Pm 3.12-3.47, 2 Ho 3.38
Pm7 0.6259 0.8834 0.7613  3 Tb 3.43-3.77, 3 Pm 3.44-3.51, 2 Ho 3.66-3.76
Pm8 0.7282 0.2718 0.7500  3 Pm 3.12-3.44, 4 Tb 3.38-3.48, 2 Ho 3.46
Pm9 0.8834 0.6259 0.2613  3 Tb 3.43-3.77, 3 Pm 3.44-3.51, 2 Ho 3.66-3.76
Pm10 0.9779 0.0221 0.2500  3 Tb 3.06-3.38
Ho1 0.2215 0.4766 0.4441  3 Tb 3.27-3.49, 5 Pm 3.38-3.66
Ho2 0.4766 0.2215 0.9441  3 Tb 3.27-3.49, 5 Pm 3.38-3.66
Ho3 0.5234 0.7785 0.0559  3 Tb 3.27-3.49, 5 Pm 3.38-3.66
Ho4 0.7785 0.5234 0.5559  3 Tb 3.27-3.49, 5 Pm 3.38-3.66

2.
The following is a DFT calculation (PBE) of a relaxed structure of ZrScRe2.

Values from the calculation:
E_form: 58 kJ/mol of formula units
space-group type: I-4m2
crystal system: tetragonal
E_tot: -9.7935 eV/atom

Cell lengths 3.8825, 3.8825, 9.4882 Å; angles 90.00, 90.00, 90.00 degrees
Last column: nearest neighbours and their distance in Å.
Element x y z (fractional)
Zr1 0.0000 0.0000 0.0000  8 Re 2.75-3.07, 4 Sc 3.07
Zr2 0.5000 0.5000 0.5000  8 Re 2.75-3.07, 4 Sc 3.07
Sc1 0.0000 0.5000 0.2500  8 Re 2.75-3.07, 4 Zr 3.07
Sc2 0.5000 0.0000 0.7500  8 Re 2.75-3.07, 4 Zr 3.07
Re1 0.0000 0.0000 0.5000  4 Zr 2.75, 4 Re 3.07, 4 Sc 3.07
Re2 0.0000 0.5000 0.7500  4 Sc 2.75, 4 Zr 3.07, 4 Re 3.07
Re3 0.5000 0.0000 0.2500  4 Sc 2.75, 4 Zr 3.07, 4 Re 3.07
Re4 0.5000 0.5000 0.0000  4 Zr 2.75, 4 Re 3.07, 4 Sc 3.07

3.
The following is a DFT calculation (PBE) of a relaxed structure of Fe2NiSnH.

Values from the calculation:
space-group type: P4/mmm
crystal system: tetragonal
E_tot: -6.0223 eV/atom

Cell lengths 3.7229, 3.7229, 4.0368 Å; angles 90.00, 90.00, 90.00 degrees
Last column: nearest neighbours and their distance in Å.
Element x y z (fractional)
Fe1 0.0000 0.5000 0.0000  2 H 1.86
Fe2 0.5000 0.0000 0.0000  2 H 1.86
Ni1 0.0000 0.0000 0.5000  2 H 2.02
Sn1 0.5000 0.5000 0.5000  4 Ni 2.63, 8 Fe 2.75
H1 0.0000 0.0000 0.0000  4 Fe 1.86, 2 Ni 2.02

4.
The following is a DFT calculation (PBE) of a relaxed structure of SmDyZr.

Values from the calculation:
E_form: 39 kJ/mol of formula units
space-group type: P2_1/m
crystal system: monoclinic
E_tot: -5.8218 eV/atom

Cell lengths 3.3755, 4.9289, 10.4683 Å; angles 90.00, 99.23, 90.00 degrees
Last column: nearest neighbours and their distance in Å.
Element x y z (fractional)
Sm1 0.0506 0.2500 0.0998  4 Sm 3.21-3.38, 1 Zr 3.39, 4 Dy 3.45
Sm2 0.9494 0.7500 0.9002  4 Sm 3.21-3.38, 1 Zr 3.39, 4 Dy 3.45
Dy1 0.3666 0.2500 0.7326  5 Zr 3.15-3.42, 2 Dy 3.38, 4 Sm 3.45
Dy2 0.6334 0.7500 0.2674  5 Zr 3.15-3.42, 2 Dy 3.38, 4 Sm 3.45
Zr1 0.2139 0.2500 0.4282  5 Dy 3.15-3.42, 6 Zr 3.33-3.38, 1 Sm 3.39
Zr2 0.7861 0.7500 0.5718  5 Dy 3.15-3.42, 6 Zr 3.33-3.38, 1 Sm 3.39

5.
The following is a DFT calculation (PBE) of a relaxed structure of Li5InAu6.

Values from the calculation:
E_form: -575 kJ/mol of formula units
space-group type: C2/m
crystal system: monoclinic
E_tot: -3.1607 eV/atom

Cell lengths 7.6862, 7.6862, 4.4250 Å; angles 106.51, 106.51, 117.26 degrees
Last column: nearest neighbours and their distance in Å.
Element x y z (fractional)
Li1 0.0000 0.0000 0.0000  8 Au 2.65-2.76
Li2 0.1724 0.8276 0.5000  8 Au 2.70-2.72
Li3 0.3407 0.6593 0.0000  8 Au 2.70-2.86
Li4 0.6593 0.3407 0.0000  8 Au 2.70-2.86
Li5 0.8276 0.1724 0.5000  8 Au 2.70-2.72
In1 0.5000 0.5000 0.5000  8 Au 2.88-2.90, 4 Li 3.04
Au1 0.0612 0.4071 0.2339  7 Li 2.70-2.86, 1 In 2.89, 2 Au 3.00-3.01
Au2 0.2226 0.2226 0.7239  6 Li 2.65-2.80, 2 In 2.88-2.90
Au3 0.4071 0.0612 0.2339  7 Li 2.70-2.86, 1 In 2.89, 2 Au 3.00-3.01
Au4 0.5929 0.9388 0.7661  7 Li 2.70-2.86, 1 In 2.89, 2 Au 3.00-3.01
Au5 0.7774 0.7774 0.2761  6 Li 2.65-2.80, 2 In 2.88-2.90
Au6 0.9388 0.5929 0.7661  7 Li 2.70-2.86, 1 In 2.89, 2 Au 3.00-3.01

6.
The following is a DFT calculation (PBE) of a relaxed structure of ZrVGa2.

Values from the calculation:
E_form: -86 kJ/mol of formula units
space-group type: P4/mmm
crystal system: tetragonal
E_tot: -6.1518 eV/atom

Cell lengths 3.3513, 3.3513, 5.9305 Å; angles 90.00, 90.00, 90.00 degrees
Last column: nearest neighbours and their distance in Å.
Element x y z (fractional)
Zr1 0.0000 0.0000 0.0000  8 Ga 2.91, 2 V 2.97
V1 0.0000 0.0000 0.5000  8 Ga 2.69, 2 Zr 2.97
Ga1 0.5000 0.5000 0.2848  1 Ga 2.55, 4 V 2.69
Ga2 0.5000 0.5000 0.7152  1 Ga 2.55, 4 V 2.69

7.
The following is a DFT calculation (PBE) of a relaxed structure of La2Tl5F12.

Values from the calculation:
space-group type: C2/m
raw formation energy: -2.7283 eV/atom
crystal system: monoclinic
E_tot: -5.0516 eV/atom

Cell lengths 8.2610, 8.2610, 7.5088 Å; angles 116.55, 116.55, 59.90 degrees
Last column: nearest neighbours and their distance in Å.
Element x y z (fractional)
La1 0.2474 0.7526 0.0000  8 F 2.39-2.49
La2 0.7526 0.2474 0.0000  8 F 2.39-2.49
Tl1 0.0000 0.0000 0.5000  6 F 2.72-2.98
Tl2 0.2741 0.2741 0.5566  7 F 2.63-2.94
Tl3 0.3007 0.3007 0.1438  4 F 2.49-2.78
Tl4 0.6993 0.6993 0.8562  4 F 2.49-2.78
Tl5 0.7259 0.7259 0.4434  7 F 2.63-2.94
F1 0.0834 0.0834 0.9549  2 La 2.47, 1 Tl 2.67
F2 0.0906 0.7001 0.6343  1 La 2.39, 1 Tl 2.63
F3 0.1334 0.4906 0.8885  1 La 2.45, 2 Tl 2.49-2.70
F4 0.2999 0.9094 0.3657  1 La 2.39, 1 Tl 2.63
F5 0.4906 0.1334 0.8885  1 La 2.45, 2 Tl 2.49-2.70
F6 0.4947 0.4947 0.8146  2 La 2.49, 1 F 2.71, 2 Tl 2.72-2.78
F7 0.5053 0.5053 0.1854  2 La 2.49, 1 F 2.71, 2 Tl 2.72-2.78
F8 0.5094 0.8666 0.1115  1 La 2.45, 2 Tl 2.49-2.70
F9 0.7001 0.0906 0.6343  1 La 2.39, 1 Tl 2.63
F10 0.8666 0.5094 0.1115  1 La 2.45, 2 Tl 2.49-2.70
F11 0.9094 0.2999 0.3657  1 La 2.39, 1 Tl 2.63
F12 0.9166 0.9166 0.0451  2 La 2.47, 1 Tl 2.67

8.
The following is a DFT calculation (PBE) of a relaxed structure of EuTlAsAu.

Values from the calculation:
E_form: -175 kJ/mol of formula units
space-group type: F-43m
crystal system: cubic
E_tot: -5.5949 eV/atom

Cell lengths 7.3550, 7.3550, 7.3550 Å; angles 90.00, 90.00, 90.00 degrees
Last column: nearest neighbours and their distance in Å.
Element x y z (fractional)
Eu1 0.0000 0.0000 0.0000  4 As 3.18, 4 Au 3.18
Eu2 0.0000 0.5000 0.5000  4 As 3.18, 4 Au 3.18
Eu3 0.5000 0.0000 0.5000  4 As 3.18, 4 Au 3.18
Eu4 0.5000 0.5000 0.0000  4 As 3.18, 4 Au 3.18
Tl1 0.0000 0.0000 0.5000  4 Au 3.18, 4 As 3.18
Tl2 0.0000 0.5000 0.0000  4 Au 3.18, 4 As 3.18
Tl3 0.5000 0.0000 0.0000  4 Au 3.18, 4 As 3.18
Tl4 0.5000 0.5000 0.5000  4 Au 3.18, 4 As 3.18
As1 0.2500 0.2500 0.7500  4 Tl 3.18, 4 Eu 3.18
As2 0.2500 0.7500 0.2500  4 Tl 3.18, 4 Eu 3.18
As3 0.7500 0.2500 0.2500  4 Tl 3.18, 4 Eu 3.18
As4 0.7500 0.7500 0.7500  4 Tl 3.18, 4 Eu 3.18
Au1 0.2500 0.2500 0.2500  4 Tl 3.18, 4 Eu 3.18
Au2 0.2500 0.7500 0.7500  4 Tl 3.18, 4 Eu 3.18
Au3 0.7500 0.2500 0.7500  4 Tl 3.18, 4 Eu 3.18
Au4 0.7500 0.7500 0.2500  4 Tl 3.18, 4 Eu 3.18